The following is a PBE calculation of a relaxed AlAs2Ir crystal, from Alexandria.

Properties
Fermi-level density of states	1.67	states/eV/cell
raw total energy	-21.526	eV/cell
symmetry	No. 10
E_form	0.094	eV per atom
total magnetization	0.00	Bohr magnetons per cell

Unit cell a=4.5549 b=3.0299 c=4.9369 alpha=90.00 beta=106.82 gamma=90.00
Last column: nearest neighbours and their distance in Å.
Positions (direct):
Al  0.0000  0.0000  0.0000  4 Ir 2.74, 6 As 2.83-2.90, 2 Al 3.03
As  0.0000  0.5000  0.5000  6 As 2.74-3.03, 2 Ir 2.83, 4 Al 2.90
As  0.5000  0.0000  0.5000  6 As 2.74-3.03, 2 Al 2.83, 4 Ir 2.90
Ir  0.5000  0.5000  0.0000  4 Al 2.74, 6 As 2.83-2.90, 2 Ir 3.03